# 1
Entry from Alexandria: a relaxed ErTiZnRh crystal (PBE).

a = 4.674 Å, b = 4.674 Å, c = 4.674 Å
α = 60.00°, β = 60.00°, γ = 60.00°
Fractional positions:
Er 0.000 0.000 0.000
Ti 0.500 0.500 0.500
Zn 0.250 0.250 0.250
Rh 0.750 0.750 0.750

Properties
calculated volume = 18.0 Å³ per atom
mass density = 8.82 Mg/m³
D(E_F) = 0.9052 states/eV per atom
formation enthalpy at 0 K = -0.412 eV/atom
M_tot = 0.65 Bohr magnetons per cell
space group = No. 216
total energy = -5.683 eV/atom

# 2
Entry from Alexandria: a relaxed Er2TlRh crystal (PBE).

a = 8.491 Å, b = 8.491 Å, c = 8.491 Å
α = 26.04°, β = 26.04°, γ = 26.04°
Fractional positions:
Er 0.233 0.233 0.233
Er 0.767 0.767 0.767
Tl 0.000 0.000 0.000
Rh 0.500 0.500 0.500

Properties
calculated volume = 26.0 Å³ per atom
mass density = 10.26 Mg/m³
D(E_F) = 0.6339 states/eV per atom
formation enthalpy at 0 K = -0.537 eV/atom
M_tot = 0.00 Bohr magnetons per cell
space group = No. 166
total energy = -5.248 eV/atom

# 3
Entry from Alexandria: a relaxed Er4TlRh2 crystal (PBE).

a = 12.340 Å, b = 12.340 Å, c = 12.340 Å
α = 19.64°, β = 19.64°, γ = 19.64°
Fractional positions:
Er 0.106 0.106 0.106
Er 0.300 0.300 0.300
Er 0.700 0.700 0.700
Er 0.894 0.894 0.894
Tl 0.500 0.500 0.500
Rh 0.401 0.401 0.401
Rh 0.599 0.599 0.599

Properties
calculated volume = 26.5 Å³ per atom
mass density = 9.65 Mg/m³
D(E_F) = 0.5350 states/eV per atom
formation enthalpy at 0 K = -0.563 eV/atom
M_tot = 0.00 Bohr magnetons per cell
space group = No. 166
total energy = -5.609 eV/atom

# 4
Entry from Alexandria: a relaxed Er5Tl2Rh2 crystal (PBE).

a = 8.967 Å, b = 8.967 Å, c = 7.486 Å
α = 90.00°, β = 90.00°, γ = 49.91°
Fractional positions:
Er 0.000 0.000 0.000
Er 0.053 0.716 0.664
Er 0.216 0.553 0.164
Er 0.284 0.947 0.664
Er 0.447 0.784 0.164
Er 0.500 0.500 0.500
Er 0.553 0.216 0.836
Er 0.716 0.053 0.336
Er 0.784 0.447 0.836
Er 0.947 0.284 0.336
Tl 0.220 0.220 0.000
Tl 0.280 0.280 0.500
Tl 0.720 0.720 0.500
Tl 0.780 0.780 0.000
Rh 0.135 0.865 0.363
Rh 0.365 0.635 0.863
Rh 0.635 0.365 0.137
Rh 0.865 0.135 0.637

Properties
calculated volume = 25.6 Å³ per atom
mass density = 10.46 Mg/m³
D(E_F) = 0.7336 states/eV per atom
formation enthalpy at 0 K = -0.581 eV/atom
M_tot = 0.00 Bohr magnetons per cell
space group = No. 64
total energy = -5.275 eV/atom

# 5
Entry from Alexandria: a relaxed Er5Tl4Rh crystal (PBE).

a = 7.575 Å, b = 7.575 Å, c = 7.575 Å
α = 98.16°, β = 98.16°, γ = 135.73°
Fractional positions:
Er 0.000 0.000 0.000
Er 0.272 0.635 0.905
Er 0.367 0.272 0.637
Er 0.635 0.729 0.363
Er 0.729 0.367 0.095
Tl 0.048 0.343 0.390
Tl 0.343 0.953 0.295
Tl 0.659 0.048 0.705
Tl 0.953 0.659 0.610
Rh 0.500 0.500 0.000

Properties
calculated volume = 28.1 Å³ per atom
mass density = 10.38 Mg/m³
D(E_F) = 0.9759 states/eV per atom
formation enthalpy at 0 K = -0.274 eV/atom
M_tot = 0.00 Bohr magnetons per cell
space group = No. 79
total energy = -4.237 eV/atom

# 6
Entry from Alexandria: a relaxed Er8Tl2Rh crystal (PBE).

a = 9.505 Å, b = 9.505 Å, c = 6.704 Å
α = 107.76°, β = 107.76°, γ = 31.88°
Fractional positions:
Er 0.019 0.019 0.245
Er 0.207 0.207 0.083
Er 0.351 0.351 0.697
Er 0.408 0.408 0.255
Er 0.592 0.592 0.745
Er 0.649 0.649 0.303
Er 0.793 0.793 0.917
Er 0.981 0.981 0.755
Tl 0.171 0.171 0.604
Tl 0.829 0.829 0.396
Rh 0.500 0.500 0.000

Properties
calculated volume = 27.6 Å³ per atom
mass density = 10.13 Mg/m³
D(E_F) = 0.7068 states/eV per atom
formation enthalpy at 0 K = -0.277 eV/atom
M_tot = 0.00 Bohr magnetons per cell
space group = No. 12
total energy = -4.694 eV/atom

# 7
Entry from Alexandria: a relaxed ErTlRh2 crystal (PBE).

a = 4.485 Å, b = 4.485 Å, c = 3.647 Å
α = 90.00°, β = 90.00°, γ = 90.00°
Fractional positions:
Er 0.000 0.000 0.000
Tl 0.500 0.500 0.000
Rh 0.000 0.500 0.500
Rh 0.500 0.000 0.500

Properties
calculated volume = 18.3 Å³ per atom
mass density = 13.07 Mg/m³
D(E_F) = 0.2727 states/eV per atom
formation enthalpy at 0 K = -0.590 eV/atom
M_tot = 0.00 Bohr magnetons per cell
space group = No. 123
total energy = -5.999 eV/atom

# 8
Entry from Alexandria: a relaxed Er5TlRh4 crystal (PBE).

a = 3.446 Å, b = 3.446 Å, c = 17.677 Å
α = 90.00°, β = 90.00°, γ = 90.00°
Fractional positions:
Er 0.000 0.000 0.000
Er 0.000 0.000 0.189
Er 0.000 0.000 0.376
Er 0.000 0.000 0.624
Er 0.000 0.000 0.811
Tl 0.500 0.500 0.500
Rh 0.500 0.500 0.094
Rh 0.500 0.500 0.285
Rh 0.500 0.500 0.715
Rh 0.500 0.500 0.906

Properties
calculated volume = 21.0 Å³ per atom
mass density = 11.49 Mg/m³
D(E_F) = 0.7231 states/eV per atom
formation enthalpy at 0 K = -0.810 eV/atom
M_tot = 0.00 Bohr magnetons per cell
space group = No. 123
total energy = -6.269 eV/atom

# 9
Entry from Alexandria: a relaxed Er12TlRh6 crystal (PBE).

a = 8.482 Å, b = 8.482 Å, c = 8.482 Å
α = 109.47°, β = 109.47°, γ = 109.47°
Fractional positions:
Er 0.109 0.299 0.810
Er 0.190 0.489 0.299
Er 0.190 0.891 0.701
Er 0.299 0.190 0.489
Er 0.299 0.810 0.109
Er 0.489 0.299 0.190
Er 0.511 0.701 0.810
Er 0.701 0.190 0.891
Er 0.701 0.810 0.511
Er 0.810 0.109 0.299
Er 0.810 0.511 0.701
Er 0.891 0.701 0.190
Tl 0.000 0.000 0.000
Rh 0.130 0.500 0.630
Rh 0.370 0.870 0.500
Rh 0.500 0.370 0.870
Rh 0.500 0.630 0.130
Rh 0.630 0.130 0.500
Rh 0.870 0.500 0.370

Properties
calculated volume = 24.7 Å³ per atom
mass density = 10.00 Mg/m³
D(E_F) = 0.9089 states/eV per atom
formation enthalpy at 0 K = -0.613 eV/atom
M_tot = 0.00 Bohr magnetons per cell
space group = No. 204
total energy = -5.941 eV/atom

# 10
Entry from Alexandria: a relaxed Er4Tl3Rh crystal (PBE).

a = 3.530 Å, b = 3.530 Å, c = 15.992 Å
α = 90.00°, β = 90.00°, γ = 90.00°
Fractional positions:
Er 0.000 0.000 0.101
Er 0.000 0.000 0.368
Er 0.000 0.000 0.632
Er 0.000 0.000 0.899
Tl 0.500 0.500 0.238
Tl 0.500 0.500 0.500
Tl 0.500 0.500 0.762
Rh 0.500 0.500 0.000

Properties
calculated volume = 24.9 Å³ per atom
mass density = 11.54 Mg/m³
D(E_F) = 0.5349 states/eV per atom
formation enthalpy at 0 K = -0.478 eV/atom
M_tot = 0.29 Bohr magnetons per cell
space group = No. 123
total energy = -4.566 eV/atom

# 11
Entry from Alexandria: a relaxed Er3Tl2Rh crystal (PBE).

a = 8.061 Å, b = 8.061 Å, c = 7.479 Å
α = 90.00°, β = 90.00°, γ = 143.02°
Fractional positions:
Er 0.000 0.000 0.235
Er 0.000 0.000 0.765
Er 0.324 0.676 0.219
Er 0.324 0.676 0.781
Er 0.676 0.324 0.219
Er 0.676 0.324 0.781
Tl 0.166 0.834 0.500
Tl 0.500 0.500 0.000
Tl 0.500 0.500 0.500
Tl 0.834 0.166 0.500
Rh 0.156 0.844 0.000
Rh 0.844 0.156 0.000

Properties
calculated volume = 24.4 Å³ per atom
mass density = 11.51 Mg/m³
D(E_F) = 0.5134 states/eV per atom
formation enthalpy at 0 K = -0.505 eV/atom
M_tot = 0.00 Bohr magnetons per cell
space group = No. 65
total energy = -4.800 eV/atom

# 12
Entry from Alexandria: a relaxed Er2TlRh crystal (PBE).

a = 3.508 Å, b = 3.508 Å, c = 7.536 Å
α = 90.00°, β = 90.00°, γ = 90.00°
Fractional positions:
Er 0.000 0.000 0.215
Er 0.000 0.000 0.785
Tl 0.500 0.500 0.500
Rh 0.500 0.500 0.000

Properties
calculated volume = 23.2 Å³ per atom
mass density = 11.49 Mg/m³
D(E_F) = 0.3177 states/eV per atom
formation enthalpy at 0 K = -0.642 eV/atom
M_tot = 0.00 Bohr magnetons per cell
space group = No. 123
total energy = -5.353 eV/atom

# 13
Entry from Alexandria: a relaxed ErTlRh2 crystal (PBE).

a = 4.708 Å, b = 4.708 Å, c = 4.708 Å
α = 60.00°, β = 60.00°, γ = 60.00°
Fractional positions:
Er 0.000 0.000 0.000
Tl 0.500 0.500 0.500
Rh 0.250 0.250 0.250
Rh 0.750 0.750 0.750

Properties
calculated volume = 18.4 Å³ per atom
mass density = 13.00 Mg/m³
D(E_F) = 0.2660 states/eV per atom
formation enthalpy at 0 K = -0.575 eV/atom
M_tot = 0.00 Bohr magnetons per cell
space group = No. 225
total energy = -5.983 eV/atom

# 14
Entry from Alexandria: a relaxed Er2TlRh crystal (PBE).

a = 5.070 Å, b = 5.070 Å, c = 5.070 Å
α = 60.00°, β = 60.00°, γ = 60.00°
Fractional positions:
Er 0.250 0.250 0.250
Er 0.750 0.750 0.750
Tl 0.000 0.000 0.000
Rh 0.500 0.500 0.500

Properties
calculated volume = 23.0 Å³ per atom
mass density = 11.56 Mg/m³
D(E_F) = 0.3361 states/eV per atom
formation enthalpy at 0 K = -0.518 eV/atom
M_tot = 0.00 Bohr magnetons per cell
space group = No. 225
total energy = -5.229 eV/atom

# 15
Entry from Alexandria: a relaxed Er7TlRh4 crystal (PBE).

a = 7.271 Å, b = 7.271 Å, c = 9.551 Å
α = 122.22°, β = 122.22°, γ = 44.27°
Fractional positions:
Er 0.000 0.000 0.000
Er 0.177 0.177 0.624
Er 0.287 0.287 0.123
Er 0.425 0.425 0.627
Er 0.575 0.575 0.373
Er 0.713 0.713 0.877
Er 0.823 0.823 0.376
Tl 0.500 0.500 0.000
Rh 0.066 0.066 0.777
Rh 0.204 0.204 0.344
Rh 0.796 0.796 0.656
Rh 0.934 0.934 0.223

Properties
calculated volume = 24.0 Å³ per atom
mass density = 10.29 Mg/m³
D(E_F) = 0.6340 states/eV per atom
formation enthalpy at 0 K = -0.472 eV/atom
M_tot = 0.00 Bohr magnetons per cell
space group = No. 12
total energy = -5.782 eV/atom

# 16
Entry from Alexandria: a relaxed Er6TlRh5 crystal (PBE).

a = 4.809 Å, b = 7.125 Å, c = 7.622 Å
α = 90.00°, β = 108.21°, γ = 90.00°
Fractional positions:
Er 0.000 0.232 0.000
Er 0.000 0.768 0.000
Er 0.327 0.245 0.655
Er 0.327 0.755 0.655
Er 0.673 0.245 0.345
Er 0.673 0.755 0.345
Tl 0.500 0.500 0.000
Rh 0.166 0.500 0.331
Rh 0.167 0.000 0.334
Rh 0.500 0.000 0.000
Rh 0.833 0.000 0.666
Rh 0.834 0.500 0.669

Properties
calculated volume = 20.7 Å³ per atom
mass density = 11.53 Mg/m³
D(E_F) = 0.4423 states/eV per atom
formation enthalpy at 0 K = -0.785 eV/atom
M_tot = 0.00 Bohr magnetons per cell
space group = No. 10
total energy = -6.326 eV/atom

# 17
Entry from Alexandria: a relaxed Er2TlRh crystal (PBE).

a = 8.430 Å, b = 8.430 Å, c = 8.430 Å
α = 26.55°, β = 26.55°, γ = 26.55°
Fractional positions:
Er 0.000 0.000 0.000
Er 0.203 0.203 0.203
Tl 0.768 0.768 0.768
Rh 0.602 0.602 0.602

Properties
calculated volume = 26.4 Å³ per atom
mass density = 10.10 Mg/m³
D(E_F) = 0.4952 states/eV per atom
formation enthalpy at 0 K = -0.520 eV/atom
M_tot = 0.00 Bohr magnetons per cell
space group = No. 160
total energy = -5.231 eV/atom

# 18
Entry from Alexandria: a relaxed Er4Tl2Rh crystal (PBE).

a = 6.506 Å, b = 3.686 Å, c = 8.916 Å
α = 90.00°, β = 110.39°, γ = 90.00°
Fractional positions:
Er 0.120 0.000 0.257
Er 0.334 0.500 0.652
Er 0.666 0.500 0.348
Er 0.880 0.000 0.743
Tl 0.261 0.500 0.999
Tl 0.739 0.500 0.001
Rh 0.500 0.000 0.500

Properties
calculated volume = 28.6 Å³ per atom
mass density = 9.78 Mg/m³
D(E_F) = 0.6090 states/eV per atom
formation enthalpy at 0 K = -0.349 eV/atom
M_tot = 0.00 Bohr magnetons per cell
space group = No. 10
total energy = -4.683 eV/atom

# 19
Entry from Alexandria: a relaxed Er3TlRh8 crystal (PBE).

a = 9.247 Å, b = 9.247 Å, c = 9.247 Å
α = 33.26°, β = 33.26°, γ = 33.26°
Fractional positions:
Er 0.000 0.000 0.000
Er 0.128 0.128 0.128
Er 0.508 0.508 0.508
Tl 0.630 0.630 0.630
Rh 0.066 0.066 0.565
Rh 0.066 0.565 0.066
Rh 0.067 0.567 0.567
Rh 0.316 0.316 0.316
Rh 0.565 0.066 0.066
Rh 0.567 0.067 0.567
Rh 0.567 0.567 0.067
Rh 0.816 0.816 0.816

Properties
calculated volume = 17.6 Å³ per atom
mass density = 11.99 Mg/m³
D(E_F) = 0.9254 states/eV per atom
formation enthalpy at 0 K = -0.573 eV/atom
M_tot = 0.00 Bohr magnetons per cell
space group = No. 160
total energy = -6.812 eV/atom

# 20
Entry from Alexandria: a relaxed ErTlRh2 crystal (PBE).

a = 3.419 Å, b = 3.419 Å, c = 6.408 Å
α = 90.00°, β = 90.00°, γ = 90.00°
Fractional positions:
Er 0.000 0.000 0.000
Tl 0.000 0.000 0.500
Rh 0.500 0.500 0.253
Rh 0.500 0.500 0.747

Properties
calculated volume = 18.7 Å³ per atom
mass density = 12.80 Mg/m³
D(E_F) = 0.4299 states/eV per atom
formation enthalpy at 0 K = -0.484 eV/atom
M_tot = 0.00 Bohr magnetons per cell
space group = No. 123
total energy = -5.892 eV/atom

# 21
Entry from Alexandria: a relaxed Er4TlRh5 crystal (PBE).

a = 3.421 Å, b = 3.421 Å, c = 16.424 Å
α = 90.00°, β = 90.00°, γ = 90.00°
Fractional positions:
Er 0.000 0.000 0.102
Er 0.000 0.000 0.305
Er 0.000 0.000 0.695
Er 0.000 0.000 0.898
Tl 0.000 0.000 0.500
Rh 0.500 0.500 0.000
Rh 0.500 0.500 0.202
Rh 0.500 0.500 0.403
Rh 0.500 0.500 0.597
Rh 0.500 0.500 0.798

Properties
calculated volume = 19.2 Å³ per atom
mass density = 11.99 Mg/m³
D(E_F) = 0.4788 states/eV per atom
formation enthalpy at 0 K = -0.752 eV/atom
M_tot = 0.00 Bohr magnetons per cell
space group = No. 123
total energy = -6.489 eV/atom

# 22
Entry from Alexandria: a relaxed Er2Tl2Rh crystal (PBE).

a = 10.118 Å, b = 10.118 Å, c = 10.118 Å
α = 159.92°, β = 159.92°, γ = 28.55°
Fractional positions:
Er 0.082 0.082 0.000
Er 0.918 0.918 0.000
Tl 0.303 0.303 0.000
Tl 0.697 0.697 0.000
Rh 0.500 0.500 0.000

Properties
calculated volume = 24.4 Å³ per atom
mass density = 11.51 Mg/m³
D(E_F) = 0.6282 states/eV per atom
formation enthalpy at 0 K = -0.438 eV/atom
M_tot = 0.00 Bohr magnetons per cell
space group = No. 139
total energy = -4.680 eV/atom

# 23
Entry from Alexandria: a relaxed Er6TlRh2 crystal (PBE).

a = 8.435 Å, b = 8.435 Å, c = 8.435 Å
α = 113.04°, β = 110.72°, γ = 104.76°
Fractional positions:
Er 0.033 0.238 0.795
Er 0.182 0.289 0.471
Er 0.182 0.711 0.894
Er 0.329 0.023 0.694
Er 0.329 0.636 0.306
Er 0.442 0.238 0.205
Er 0.558 0.762 0.795
Er 0.671 0.364 0.694
Er 0.671 0.977 0.306
Er 0.818 0.289 0.106
Er 0.818 0.711 0.529
Er 0.967 0.762 0.205
Tl 0.000 0.000 0.000
Tl 0.500 0.500 0.000
Rh 0.133 0.633 0.500
Rh 0.338 0.000 0.338
Rh 0.662 0.000 0.662
Rh 0.867 0.367 0.500

Properties
calculated volume = 25.5 Å³ per atom
mass density = 10.22 Mg/m³
D(E_F) = 0.9138 states/eV per atom
formation enthalpy at 0 K = -0.569 eV/atom
M_tot = 0.00 Bohr magnetons per cell
space group = No. 71
total energy = -5.508 eV/atom